# 1
Below is a relaxed structure of NaMn2VC, with properties calculated at the PBE level.

Geometry as extended XYZ:
```
5
Lattice="-0.145 3.098 2.251 -4.180 -0.964 1.058 1.233 -2.095 2.963" Properties=species:S:1:pos:R:3 pbc="T T T"
Mn -0.073 1.549 1.125
C 0.000 0.000 0.000
Na -2.090 -0.482 0.529
Mn 0.617 -1.047 1.481
V -1.546 0.020 3.136
```

The value obtained for the magnetization is 4.26 μB/cell. The space group is P4/mmm (123). For the total energy, the calculation gives -0.502 Ry per atom. For the volume, the calculation gives 64.9 Å³/f.u.

=====

# 2
Below is a relaxed structure of Na2MnWC, with properties calculated at the PBE level.

Geometry as extended XYZ:
```
5
Lattice="-0.824 0.005 -5.331 1.875 -3.014 -0.293 -4.512 -2.874 0.695" Properties=species:S:1:pos:R:3 pbc="T T T"
C 0.938 -1.507 -0.146
W -1.730 -2.942 -2.464
Mn 0.000 0.000 0.000
Na -0.412 0.002 -2.666
Na -2.256 -1.437 0.347
```

The value obtained for the magnetization is 3.92 μB/cell. The space group is P4/mmm (123). For the total energy, the calculation gives -0.349 Ry per atom. For the volume, the calculation gives 103.7 Å³/f.u.

=====

# 3
Below is a relaxed structure of Na2MnZnC, with properties calculated at the PBE level.

Geometry as extended XYZ:
```
5
Lattice="5.225 0.000 0.000 0.000 3.765 0.000 0.000 0.000 5.225" Properties=species:S:1:pos:R:3 pbc="T T T"
Mn 2.612 1.882 2.612
Zn 0.000 1.882 0.000
Na 0.000 0.000 2.612
Na 2.612 0.000 0.000
C 0.000 0.000 0.000
```

The value obtained for the magnetization is 5.01 μB/cell. The space group is P4/mmm (123). For the total energy, the calculation gives -0.261 Ry per atom. For the volume, the calculation gives 102.8 Å³/f.u.